11
Lattice="7.370 -0.036 0.078 -3.675 6.389 0.078 -1.296 -2.228 8.545" Properties=species:S:1:pos:R:3 comment="Cs2NdU2Se6 PBE relaxed" mass_density_g_cm3=5.59 e_form_raw_ev_per_atom=-1.423 pbc="T T T"
Cs 5.553 1.021 0.078
U 3.034 0.995 4.351
Se 0.638 1.096 2.743
U -0.634 3.129 4.351
Nd -0.648 -1.114 4.273
Cs -1.857 5.332 0.078
Se -1.933 1.048 5.875
Se 1.867 -1.162 5.875
Se 1.762 3.028 5.959
Se 4.332 3.076 2.827
Se 0.533 5.287 2.827

15
Lattice="8.443 0.000 0.000 -4.222 7.311 -0.034 0.000 -4.839 8.601" Properties=species:S:1:pos:R:3 comment="Cs3Nd3VSe8 PBE relaxed" mass_density_g_cm3=4.75 e_form_raw_ev_per_atom=-1.431 pbc="T T T"
Cs 2.111 3.656 -0.017
Se -2.348 3.817 5.767
Se 0.000 -0.249 5.786
Nd 4.222 -2.420 4.301
Cs -2.111 3.656 -0.017
Se 0.000 2.447 2.618
Se 2.348 3.817 5.767
Cs 0.000 0.000 0.000
Se 6.569 -1.344 2.800
Se 1.874 -1.344 2.800
Se 4.222 2.721 2.781
Nd 2.111 1.236 4.283
Se 4.222 0.025 5.949
V 0.000 -2.420 4.301
Nd -2.111 1.236 4.283

8
Lattice="-1.185 -1.008 4.050 5.008 -5.603 0.070 4.155 7.108 2.985" Properties=species:S:1:pos:R:3 comment="Cs2NdYSe4 PBE relaxed" mass_density_g_cm3=4.95 e_form_raw_ev_per_atom=-1.730 pbc="T T T"
Se 1.297 -0.421 2.598
Cs 4.581 0.753 1.527
Y 0.000 0.000 0.000
Se 6.681 0.918 4.507
Cs 1.485 3.050 3.517
Se 4.476 -2.780 0.617
Se 4.686 4.285 2.438
Nd 1.912 -3.305 2.060

16
Lattice="-4.506 -5.284 5.311 1.838 -7.561 -5.963 6.948 4.355 3.032" Properties=species:S:1:pos:R:3 comment="Cs4Nd3YSe8 PBE relaxed" mass_density_g_cm3=5.03 e_form_raw_ev_per_atom=-1.728 pbc="T T T"
Cs 1.221 -0.464 4.172
Y 0.919 -3.781 -2.982
Se 6.934 -2.211 0.013
Cs -2.253 -2.642 2.656
Se 4.636 -4.906 2.722
Se 0.890 -4.058 3.913
Nd -1.334 -6.423 -0.326
Cs 0.000 0.000 0.000
Se 3.390 -4.432 -1.533
Se 1.183 -7.081 1.155
Se -0.356 -3.584 -0.342
Se 3.098 -1.410 1.226
Nd 2.140 -4.245 1.190
Cs 3.474 2.178 1.516
Nd 4.393 -1.603 -1.466
Se -2.654 -6.279 2.367

12
Lattice="-4.177 -6.223 -0.920 6.220 1.022 -4.158 3.880 -2.193 7.552" Properties=species:S:1:pos:R:3 comment="Cs3Nd2YSe6 PBE relaxed" mass_density_g_cm3=5.00 e_form_raw_ev_per_atom=-1.729 pbc="T T T"
Cs 6.411 -1.294 0.163
Cs 2.962 -3.697 1.237
Nd 2.753 -1.394 -3.078
Y 0.000 0.000 0.000
Se 3.682 -3.144 4.787
Se 3.035 -6.986 2.724
Se 2.888 -0.408 -0.249
Nd -0.710 -3.807 -2.000
Cs -0.487 -6.100 2.311
Se -0.500 -2.770 0.806
Se 2.242 -4.250 -2.313
Se 6.424 -4.625 1.668

12
Lattice="7.474 -0.001 0.000 -3.736 6.473 0.000 -1.247 -2.159 8.386" Properties=species:S:1:pos:R:3 comment="Cs3NdY2Se6 PBE relaxed" mass_density_g_cm3=4.89 e_form_raw_ev_per_atom=-1.732 pbc="T T T"
Nd 0.000 0.000 0.000
Se -0.056 4.314 6.813
Cs -2.510 4.326 4.193
Se 2.547 0.000 1.574
Se 3.765 2.107 6.813
Se -1.274 2.206 1.574
Se 0.027 0.047 6.819
Y -0.001 4.316 0.000
Cs 5.001 -0.012 4.193
Y 3.739 2.156 0.000
Cs 1.246 2.157 4.193
Se 2.464 4.266 1.568

9
Lattice="-4.390 0.502 0.235 -1.055 -7.859 -2.924 2.605 -0.451 7.971" Properties=species:S:1:pos:R:3 comment="Cs2NdZn2Se4 PBE relaxed" mass_density_g_cm3=4.97 e_form_raw_ev_per_atom=-1.106 pbc="T T T"
Se 0.154 -1.945 7.031
Se -2.994 -5.863 -1.749
Nd 0.000 0.000 0.000
Zn -3.095 -7.591 0.058
Cs -2.361 -3.383 4.767
Se -2.840 -6.517 2.514
Zn 0.255 -0.216 5.224
Cs -0.478 -4.425 0.515
Se 0.001 -1.291 2.769

12
Lattice="7.373 -0.001 -0.001 -3.686 6.386 -0.001 -1.230 -2.131 8.415" Properties=species:S:1:pos:R:3 comment="Cs3Nd2ZrSe6 PBE relaxed" mass_density_g_cm3=5.25 e_form_raw_ev_per_atom=-1.554 pbc="T T T"
Se 2.536 4.391 1.597
Se -1.152 1.996 1.581
Zr 0.000 0.000 0.000
Cs -2.409 4.227 4.206
Se 2.304 -0.001 1.581
Se 0.152 4.255 6.832
Se -0.079 -0.137 6.816
Cs 4.865 0.026 4.206
Nd 0.005 4.254 -0.001
Nd 3.682 2.130 -0.001
Cs 1.228 2.127 4.206
Se 3.609 2.258 6.832

11
Lattice="7.268 0.006 0.049 -3.587 6.321 0.049 -1.329 -2.285 8.544" Properties=species:S:1:pos:R:3 comment="Cs2Nd2ZrSe6 PBE relaxed" mass_density_g_cm3=4.71 e_form_raw_ev_per_atom=-1.630 pbc="T T T"
Cs 5.409 1.087 0.049
Nd 2.987 0.967 4.321
Se -1.781 0.803 5.869
Se 0.481 0.826 2.733
Se 4.132 3.239 2.773
Nd -0.636 3.075 4.321
Se 1.870 3.215 5.909
Se 0.773 5.193 2.773
Se 1.578 -1.151 5.869
Cs -1.728 5.239 0.049
Zr -0.665 -1.143 4.272

15
Lattice="8.536 0.000 0.000 -4.268 7.393 -0.033 0.000 -4.896 8.595" Properties=species:S:1:pos:R:3 comment="Cs3Nd3ZrSe8 PBE relaxed" mass_density_g_cm3=4.77 e_form_raw_ev_per_atom=-1.653 pbc="T T T"
Se 0.000 2.473 2.635
Se 4.268 0.024 5.927
Nd 2.134 1.248 4.281
Nd 4.268 -2.448 4.298
Nd -2.134 1.248 4.281
Cs -2.134 3.697 -0.017
Cs 2.134 3.697 -0.017
Se 0.000 -0.150 5.839
Se 4.268 2.647 2.723
Se -2.285 3.807 5.821
Se 6.552 -1.310 2.741
Zr 0.000 -2.448 4.298
Se 1.983 -1.310 2.741
Se 2.285 3.807 5.821
Cs 0.000 0.000 0.000

4
Lattice="-2.242 -0.447 -2.967 -3.255 -1.816 0.369 -8.007 10.902 2.045" Properties=species:S:1:pos:R:3 comment="CsNd2Sm PBE relaxed" mass_density_g_cm3=5.78 delta_e_f_ev_per_atom=0.28 pbc="T T T"
Nd -7.260 1.065 -1.766
Nd -6.244 7.574 1.214
Sm -6.752 4.319 -0.276
Cs 0.000 0.000 0.000

15
Lattice="-1.211 4.925 -7.594 1.177 -9.040 -0.563 -9.485 3.163 3.564" Properties=species:S:1:pos:R:3 comment="Cs3Nd3SmTe8 PBE relaxed" mass_density_g_cm3=5.00 e_form_raw_ev_per_atom=-1.337 pbc="T T T"
Cs 0.000 0.000 0.000
Te -6.314 -0.838 0.462
Te -3.188 1.953 -0.957
Te -6.941 1.611 -3.340
Nd -4.154 -2.939 1.500
Nd -4.759 -0.476 -2.296
Te -5.722 -5.380 0.179
Nd -5.348 4.044 -2.015
Cs -0.017 -2.058 -4.078
Sm -4.743 1.581 1.782
Te -2.577 -2.564 -1.253
Te -3.205 -0.115 -5.055
Te -6.330 -2.906 -3.636
Te -3.796 4.427 -4.772
Cs 0.589 -4.520 -0.281

16
Lattice="9.331 0.000 0.000 0.000 10.417 0.762 -4.666 -4.665 6.599" Properties=species:S:1:pos:R:3 comment="Cs4Nd3SmTe8 PBE relaxed" mass_density_g_cm3=5.26 e_form_raw_ev_per_atom=-1.412 pbc="T T T"
Te 2.350 2.734 6.892
Te 4.666 0.668 3.794
Nd 2.333 2.876 3.681
Te 4.666 5.081 3.590
Cs 2.333 -2.332 3.300
Nd 4.666 5.209 0.381
Cs 0.000 0.000 0.000
Cs -2.333 -2.332 3.300
Te 0.000 0.671 3.771
Sm 0.000 5.209 0.381
Te 0.000 5.084 3.568
Cs 4.666 0.000 0.000
Te 7.016 3.018 0.469
Te -2.350 2.734 6.892
Nd -2.333 2.876 3.681
Te 2.315 3.018 0.469

16
Lattice="-3.138 -7.645 4.235 5.973 2.133 8.278 -5.950 6.628 -2.626" Properties=species:S:1:pos:R:3 comment="Cs4NdSm3Te8 PBE relaxed" mass_density_g_cm3=5.34 e_form_raw_ev_per_atom=-1.409 pbc="T T T"
Cs 0.000 0.000 0.000
Cs -2.975 3.314 -1.313
Te -2.306 6.073 4.203
Te -2.211 2.165 2.271
Te -0.905 -1.050 7.616
Nd 2.987 1.067 4.139
Sm 0.011 4.380 2.826
Te -3.762 -1.669 4.381
Te -0.810 -4.958 5.684
Cs -4.544 -0.509 0.804
Te -3.863 2.279 6.304
Te 0.748 -1.164 3.583
Sm 1.417 -2.756 6.256
Cs -1.569 -3.823 2.117
Te 0.647 2.784 5.506
Sm -1.558 0.558 4.943

15
Lattice="-3.995 -3.952 7.181 9.087 0.872 -0.254 -5.403 8.935 1.911" Properties=species:S:1:pos:R:3 comment="Cs3Nd3SnTe8 PBE relaxed" mass_density_g_cm3=4.93 e_form_raw_ev_per_atom=-1.116 pbc="T T T"
Cs 2.546 -1.540 3.464
Sn -2.702 4.468 0.956
Te 0.249 0.200 6.038
Nd -4.699 2.492 4.546
Te -0.560 5.655 2.800
Te -2.399 1.803 2.435
Te -4.477 -0.253 6.171
Cs 0.000 0.000 0.000
Nd 1.842 4.904 0.828
Cs 4.544 0.436 -0.127
Te 2.158 2.126 2.370
Te -2.469 3.729 6.468
Te 4.167 6.108 2.667
Te 2.088 4.052 6.404
Nd -0.155 2.928 4.419

12
Lattice="8.080 0.000 0.000 -4.038 6.998 0.000 -1.348 -2.334 8.918" Properties=species:S:1:pos:R:3 comment="Cs3Nd2SnTe6 PBE relaxed" mass_density_g_cm3=5.17 e_form_raw_ev_per_atom=-1.104 pbc="T T T"
Te -0.025 -0.043 7.203
Cs -2.668 4.651 4.459
Sn 0.000 0.000 0.000
Te 4.016 2.374 7.214
Te 2.645 -0.001 1.704
Nd 4.037 2.334 0.000
Cs 1.347 2.332 4.459
Cs 5.361 0.013 4.459
Nd 0.004 4.664 0.000
Te 2.718 4.707 1.715
Te 0.049 4.665 7.214
Te -1.323 2.290 1.704

8
Lattice="4.591 0.000 0.000 0.000 9.290 -0.648 0.000 2.815 7.617" Properties=species:S:1:pos:R:3 comment="Cs2NdSnTe4 PBE relaxed" mass_density_g_cm3=5.18 e_form_raw_ev_per_atom=-0.958 pbc="T T T"
Te 2.296 4.931 5.405
Te 0.000 8.576 5.456
Te 4.591 3.530 1.513
Sn 2.296 4.645 -0.324
Cs 0.000 2.815 7.617
Nd 0.000 6.053 3.485
Cs 2.296 1.408 3.808
Te 2.296 7.175 1.564

12
Lattice="-1.079 -4.361 -0.653 7.470 -0.871 -6.527 3.923 -2.691 11.496" Properties=species:S:1:pos:R:3 comment="CsNdSnTe3 PBE relaxed" mass_density_g_cm3=4.91 e_form_raw_ev_per_atom=-1.033 pbc="T T T"
Te 6.361 -2.806 0.343
Te 6.615 -4.611 -3.807
Cs 2.532 -2.031 1.490
Nd 5.222 -5.862 6.856
Sn 2.871 -2.705 5.437
Sn 7.443 -5.218 -1.121
Te 3.699 -3.312 8.124
Nd 5.093 -2.061 -2.540
Te 2.613 -3.910 -1.875
Te 7.702 -4.013 6.192
Cs 7.782 -5.892 2.826
Te 3.953 -5.117 3.973

12
Lattice="-3.756 1.855 2.394 -2.038 -8.889 3.691 8.067 2.195 6.093" Properties=species:S:1:pos:R:3 comment="CsNd2Sn3Te6 PBE relaxed" mass_density_g_cm3=5.42 e_form_raw_ev_per_atom=-0.748 pbc="T T T"
Te 3.318 -1.618 6.460
Nd 0.852 -2.821 8.383
Te -0.367 -2.517 1.374
Te 2.123 -5.645 7.704
Te 0.151 0.806 4.473
Te -1.045 -3.221 5.718
Nd 1.422 -2.018 3.795
Sn 1.801 0.986 6.923
Sn -2.897 -3.517 3.042
Te 2.641 -2.323 10.804
Cs -1.878 0.927 1.197
Sn 0.472 -5.825 5.254

12
Lattice="8.185 -0.001 0.000 -4.091 7.089 0.000 -1.365 -2.364 9.002" Properties=species:S:1:pos:R:3 comment="Cs3SrNd2Te6 PBE relaxed" mass_density_g_cm3=4.90 e_form_raw_ev_per_atom=-1.326 pbc="T T T"
Nd -0.004 4.728 0.000
Nd 4.097 2.360 0.000
Te 4.150 2.258 7.220
Te 2.671 4.625 1.767
Te 0.057 0.100 7.235
Cs -2.776 4.753 4.501
Te 2.846 0.001 1.783
Te -1.422 2.466 1.783
Sr 0.000 0.000 0.000
Cs 5.504 -0.029 4.501
Cs 1.364 2.362 4.501
Te -0.118 4.724 7.220